1.
Density functional theory data (GGA-PBEsol) for a relaxed MgZrPb2 crystal.

Cell lengths 3.2465, 5.4345, 5.3989 Å; angles 90.00, 90.00, 90.00 degrees
Space group Pmm2 (No. 25)
Asymmetric unit:
Mg: 0.0000 0.0000 0.0000 x1
Zr: 0.0000 0.5000 0.4005 x1
Pb: 0.5000 0.0000 0.4923 x1
Pb: 0.5000 0.5000 0.9095 x1

DOS at the Fermi energy: 2.15 states/eV per cell
Formation energy from the elements: -0.107 eV/atom

=====

2.
Density functional theory data (GGA-PBEsol) for a relaxed Cu3P2O8 crystal.

Cell lengths 4.8189, 5.3113, 6.1876 Å; angles 72.56, 87.14, 68.83 degrees
Space group P-1 (No. 2)
Asymmetric unit:
Cu: 0.0000 0.0000 0.0000 x1
Cu: 0.2746 0.2235 0.3171 x2
P: 0.3607 0.3471 0.7790 x2
O: 0.1552 0.6471 0.6559 x2
O: 0.2308 0.2217 0.0077 x2
O: 0.3273 0.6551 0.1688 x2
O: 0.3766 0.1422 0.6370 x2

Uncorrected formation energy: -1.429 eV per atom
DOS at the Fermi energy: 3.82 states/eV per cell

=====

3.
Density functional theory data (GGA-PBEsol) for a relaxed Ca2AgTe crystal.

Cell lengths 4.4008, 4.4008, 21.2555 Å; angles 90.00, 90.00, 120.00 degrees
Space group R-3m (No. 166, hexagonal axes)
Asymmetric unit:
Ca: 0.0000 0.0000 0.2469 x6
Ag: 0.0000 0.0000 0.5000 x3
Te: 0.0000 0.0000 0.0000 x3

Uncorrected formation energy: -0.791 eV per atom
DOS at the Fermi energy: 5.42 states/eV per cell

=====

4.
Density functional theory data (GGA-PBEsol) for a relaxed Er2Mo3H2Se2O17 crystal.

Cell lengths 6.6649, 7.1635, 13.9991 Å; angles 90.00, 99.32, 90.00 degrees
Space group P2_1/m (No. 11)
Asymmetric unit:
Er: 0.1181 0.2500 0.0359 x2
Er: 0.2434 0.7500 0.3770 x2
Mo: 0.2931 0.0040 0.6370 x4
Mo: 0.3659 0.7500 0.8340 x2
H: 0.2544 0.1406 0.8526 x4
Se: 0.2385 0.2500 0.3062 x2
Se: 0.2967 0.7500 0.1153 x2
O: 0.0476 0.0748 0.6434 x4
O: 0.1209 0.7500 0.8623 x2
O: 0.1509 0.5718 0.0531 x4
O: 0.2013 0.2500 0.8855 x2
O: 0.2154 0.7500 0.2239 x2
O: 0.2682 0.5694 0.5178 x4
O: 0.2718 0.7500 0.6775 x2
O: 0.3033 0.2500 0.1937 x2
O: 0.3748 0.5030 0.7873 x4
O: 0.3785 0.0588 0.3559 x4
O: 0.4094 0.2500 0.6285 x2
O: 0.4812 0.2500 0.0529 x2

VASP energy: -400.2 eV/cell

=====

5.
Density functional theory data (GGA-PBEsol) for a relaxed TaTl2W crystal.

Cell lengths 3.2510, 4.8018, 4.9469 Å; angles 90.00, 90.00, 90.00 degrees
Space group Pmmm (No. 47)
Asymmetric unit:
Ta: 0.0000 0.0000 0.0000 x1
Tl: 0.0000 0.5000 0.5000 x1
Tl: 0.5000 0.5000 0.0000 x1
W: 0.5000 0.0000 0.5000 x1

DOS at the Fermi energy: 1.81 states/eV per cell
Formation energy from the elements: 0.784 eV/atom

=====

6.
Density functional theory data (GGA-PBEsol) for a relaxed Rb2NbAgS4 crystal.

Cell lengths 5.8325, 13.4481, 23.3372 Å; angles 90.00, 90.00, 90.00 degrees
Space group Fddd (No. 70, origin choice 2)
Asymmetric unit:
Rb: 0.1250 0.1250 0.3048 x16
Nb: 0.1250 0.1250 0.1250 x8
Ag: 0.1250 0.1250 0.6250 x8
S: 0.0957 0.2737 0.4319 x32

Uncorrected formation energy: -1.001 eV per atom
DOS at the Fermi energy: 0.00 states/eV per cell

=====

7.
Density functional theory data (GGA-PBEsol) for a relaxed IrOsBr2 crystal.

Cell lengths 3.0113, 3.0113, 8.4131 Å; angles 90.00, 90.00, 90.00 degrees
Space group P4mm (No. 99)
Asymmetric unit:
Ir: 0.0000 0.0000 0.0000 x1
Os: 0.5000 0.5000 0.1784 x1
Br: 0.0000 0.0000 0.3959 x1
Br: 0.5000 0.5000 0.7770 x1

Uncorrected formation energy: 0.626 eV per atom
DOS at the Fermi energy: 3.30 states/eV per cell

=====

8.
Density functional theory data (GGA-PBEsol) for a relaxed RbSi crystal.

Cell lengths 10.8135, 10.8135, 17.5986 Å; angles 90.00, 90.00, 90.00 degrees
Space group I4_1/acd (No. 142, origin choice 2)
Asymmetric unit:
Rb: 0.1209 0.1291 0.1250 x16
Rb: 0.1430 0.0000 0.7500 x16
Si: 0.0592 0.1546 0.9237 x32

Uncorrected formation energy: -0.048 eV per atom

=====

Please write out number 5 again, unchanged.
Density functional theory data (GGA-PBEsol) for a relaxed TaTl2W crystal.

Cell lengths 3.2510, 4.8018, 4.9469 Å; angles 90.00, 90.00, 90.00 degrees
Space group Pmmm (No. 47)
Asymmetric unit:
Ta: 0.0000 0.0000 0.0000 x1
Tl: 0.0000 0.5000 0.5000 x1
Tl: 0.5000 0.5000 0.0000 x1
W: 0.5000 0.0000 0.5000 x1

DOS at the Fermi energy: 1.81 states/eV per cell
Formation energy from the elements: 0.784 eV/atom

=====

Repeat the fifth record exactly.
Density functional theory data (GGA-PBEsol) for a relaxed TaTl2W crystal.

Cell lengths 3.2510, 4.8018, 4.9469 Å; angles 90.00, 90.00, 90.00 degrees
Space group Pmmm (No. 47)
Asymmetric unit:
Ta: 0.0000 0.0000 0.0000 x1
Tl: 0.0000 0.5000 0.5000 x1
Tl: 0.5000 0.5000 0.0000 x1
W: 0.5000 0.0000 0.5000 x1

DOS at the Fermi energy: 1.81 states/eV per cell
Formation energy from the elements: 0.784 eV/atom